Version 1
Here is a relaxed MoRuCl2 crystal from Alexandria via LeMat-Bulk. Energies are from PBE.

For the density of states at the Fermi level, the calculation gives 5.16 states/eV/cell. The space group is No. 10. Its calculated volume is 65 Å³/cell.

Cell lengths 4.2006, 3.0307, 5.0939 Å; angles 94.59, 90.00, 90.00 degrees
Last column: magnetic moment on the atom in μB.
Fractional positions:
Ru (0.5000, 0.7500, 0.7500)  0.35
Mo (0.5000, 0.2500, 0.2500)  0.04
Cl (0.0000, 0.0142, 0.0020)  0.01
Cl (0.0000, 0.4858, 0.4980)  0.01


Version 2
Here is a relaxed MoRuCl2 crystal from Alexandria via LeMat-Bulk. Energies are from PBE.

For the density of states at the Fermi level, the calculation gives 4.99 states/eV/cell. The space group is No. 122. Its calculated volume is 154 Å³/cell.

Cell lengths 5.3777, 5.3777, 6.5311 Å; angles 65.69, 65.69, 90.00 degrees
Fractional positions:
Ru (0.0000, 0.0000, 0.0000)
Ru (0.7500, 0.2500, 0.5000)
Mo (0.5000, 0.5000, 0.0000)
Mo (0.2500, 0.7500, 0.5000)
Cl (0.6249, 0.1250, 0.2500)
Cl (0.1251, 0.6250, 0.2500)
Cl (0.3750, 0.3751, 0.7500)
Cl (0.8750, 0.8749, 0.7500)


Verdict on stability: version 1 comes out on top.